(1)
# TiSiBSb2

TiSiBSb2 after structural relaxation (PBE-GGA, Alexandria).

Values from the calculation:
Size of the total moment in μB/atom: 0.00
Energy relative to the elements, uncorrected in meV per atom: 915

abc: 5.267 4.235 5.267
angles: 90.00 90.00 90.00
Atoms (fractional coordinates):
Sb 0.000 0.000 0.500
Sb 0.500 0.000 0.000
Si 0.500 0.500 0.500
B 0.000 0.500 0.000
Ti 0.000 0.000 0.000

---

(2)
# HfTlS2

HfTlS2 after structural relaxation (PBE-GGA, Alexandria).

Values from the calculation:
Size of the total moment in μB/atom: 0.00
Energy relative to the elements, uncorrected in meV per atom: -1013

abc: 14.733 14.733 3.774
angles: 90.00 90.00 166.73
Atoms (fractional coordinates):
Tl 0.049 0.951 0.250
Tl 0.951 0.049 0.750
Hf 0.311 0.689 0.250
Hf 0.689 0.311 0.750
S 0.217 0.783 0.250
S 0.783 0.217 0.750
S 0.874 0.126 0.250
S 0.126 0.874 0.750